1.
# LiY4TmSe8

A geometry-optimized LiY4TmSe8 structure (PBE-GGA, Alexandria via LeMat-Bulk).

VASP energy	-85.2	eV per cell
calculated volume	29.4	Å³/atom
formation energy from raw total energies	-172.6	kJ/mol of atoms

The structure in POSCAR format:
```
LiY4TmSe8
1.0
-7.1086 -2.1877 3.8299
-1.2772 -7.9651 2.2165
0.0799 -2.1668 8.0474
Y Se Li Tm
4 8 1 1
direct
0.0052 0.0052 0.5053
0.4844 0.0052 0.5053
0.6243 0.6243 0.1272
0.0052 0.4844 0.5053
0.7611 0.7611 0.2552
0.7584 0.7584 0.7249
0.7661 0.2429 0.7480
0.2227 0.7611 0.2552
0.2429 0.2429 0.7480
0.2452 0.2452 0.2645
0.2429 0.7661 0.7480
0.7611 0.2227 0.2552
0.3751 0.3751 0.8746
0.0056 0.0056 0.9833
```

=====

2.
# Li3TmZr2Se6

A geometry-optimized Li3TmZr2Se6 structure (PBE-GGA, Alexandria via LeMat-Bulk).

VASP energy	-65.3	eV per cell
calculated volume	21.1	Å³/atom
formation energy from raw total energies	-137.7	kJ/mol of atoms

The structure in POSCAR format:
```
Li3TmZr2Se6
1.0
6.6662 -0.0004 -0.0003
-3.3318 5.7738 -0.0003
-1.1116 -1.9248 6.5735
Se Li Tm Zr
6 3 1 2
direct
0.5753 0.9158 0.7475
0.7442 0.7442 0.2532
0.9158 0.5753 0.7475
0.4247 0.0842 0.2525
0.0842 0.4247 0.2525
0.2558 0.2558 0.7468
0.1653 0.8347 0.5000
0.5000 0.5000 0.5000
0.8347 0.1653 0.5000
0.0000 0.0000 0.0000
0.3335 0.6665 0.0000
0.6665 0.3335 0.0000
```

=====

3.
# Li2TmZr2Se6

A geometry-optimized Li2TmZr2Se6 structure (PBE-GGA, Alexandria via LeMat-Bulk).

VASP energy	-62.3	eV per cell
calculated volume	23.2	Å³/atom
formation energy from raw total energies	-140.2	kJ/mol of atoms

The structure in POSCAR format:
```
Li2TmZr2Se6
1.0
6.7017 -0.0369 0.0736
-3.3445 5.8077 0.0736
-1.1960 -2.0558 6.5125
Tm Li Se Zr
1 2 6 2
direct
0.0000 0.0000 0.5000
0.8342 0.1658 0.0000
0.1658 0.8342 0.0000
0.5756 0.9188 0.2526
0.7407 0.7407 0.7489
0.2593 0.2593 0.2511
0.0812 0.4244 0.7474
0.4244 0.0812 0.7474
0.9188 0.5756 0.2526
0.3342 0.6658 0.5000
0.6658 0.3342 0.5000
```

=====

4.
# Li2TmZrSe4

A geometry-optimized Li2TmZrSe4 structure (PBE-GGA, Alexandria via LeMat-Bulk).

VASP energy	-42.7	eV per cell
calculated volume	21.5	Å³/atom
formation energy from raw total energies	-143.5	kJ/mol of atoms

The structure in POSCAR format:
```
Li2TmZrSe4
1.0
3.8787 0.0000 0.0000
0.0000 6.7752 0.1263
0.0000 -2.3591 6.4880
Se Li Zr Tm
4 2 1 1
direct
0.5000 0.2583 0.2535
0.5000 0.7417 0.7465
0.0000 0.7446 0.2511
0.0000 0.2554 0.7489
0.0000 0.5000 0.5000
0.5000 0.0000 0.5000
0.5000 0.5000 0.0000
0.0000 0.0000 0.0000
```

=====

Question: What is the formula in the fourth record?
Answer: Li2TmZrSe4